A relaxed Tb5BiSe5 crystal. Source: the Alexandria database, functional PBE.

Results
The value obtained for the density of states at the Fermi level is 3.7 states/eV/f.u. The formation energy without anion corrections is -1647.5 meV per atom.

Cell lengths 5.9252, 7.1828, 8.3460 Å; angles 106.60, 90.00, 114.36 degrees
Fractional positions:
Tb 0.5000 0.0000 0.0000
Tb 0.8321 0.6641 0.1806
Tb 0.8296 0.6592 0.6527
Tb 0.1679 0.3359 0.8194
Tb 0.1704 0.3408 0.3473
Se 0.3290 0.6580 0.1615
Se 0.3378 0.6755 0.6660
Se 0.6622 0.3245 0.3340
Se 0.0000 0.0000 0.5000
Se 0.6710 0.3420 0.8385
Bi 0.0000 0.0000 0.0000